# 1
This record from Alexandria describes a relaxed structure of Mg4TlPb4. The functional is PBE.

Its energy above the most stable polymorph in this dataset is 0.00 eV per formula unit. The calculation puts the formation energy at -0.02 eV per atom. As for the space-group type: No. 87.

Lattice parameters (Å, degrees): 8.445 8.445 8.445 92.55 92.55 155.66
Positions (direct):
Mg (0.142, 0.182, 0.325)
Mg (0.182, 0.858, 0.040)
Mg (0.818, 0.142, 0.960)
Mg (0.858, 0.818, 0.675)
Tl (0.500, 0.500, 0.000)
Pb (0.179, 0.456, 0.635)
Pb (0.456, 0.821, 0.277)
Pb (0.544, 0.179, 0.723)
Pb (0.821, 0.544, 0.365)

# 2
This record from Alexandria describes a relaxed structure of Mg7TlPb2. The functional is PBE.

Its energy above the most stable polymorph in this dataset is 0.00 eV per formula unit. The calculation puts the formation energy at -0.01 eV per atom. As for the space-group type: No. 139.

Lattice parameters (Å, degrees): 11.420 11.420 11.420 155.26 155.26 35.27
Positions (direct):
Mg (0.000, 0.000, 0.000)
Mg (0.088, 0.588, 0.500)
Mg (0.250, 0.750, 0.500)
Mg (0.412, 0.912, 0.500)
Mg (0.588, 0.088, 0.500)
Mg (0.750, 0.250, 0.500)
Mg (0.912, 0.412, 0.500)
Tl (0.500, 0.500, 0.000)
Pb (0.170, 0.170, 0.000)
Pb (0.830, 0.830, 0.000)

# 3
This record from Alexandria describes a relaxed structure of Mg3Tl8Pb. The functional is PBE.

The calculation puts the formation energy at 0.02 eV per atom. As for the space-group type: No. 162.

Lattice parameters (Å, degrees): 6.073 6.073 10.691 90.00 90.00 120.00
Positions (direct):
Mg (0.000, 0.000, 0.000)
Mg (0.333, 0.667, 0.000)
Mg (0.667, 0.333, 0.000)
Tl (0.000, 0.332, 0.232)
Tl (0.000, 0.668, 0.768)
Tl (0.332, 0.000, 0.232)
Tl (0.332, 0.332, 0.768)
Tl (0.333, 0.667, 0.500)
Tl (0.667, 0.333, 0.500)
Tl (0.668, 0.000, 0.768)
Tl (0.668, 0.668, 0.232)
Pb (0.000, 0.000, 0.500)

# 4
This record from Alexandria describes a relaxed structure of Mg3Tl2Pb2. The functional is PBE.

Its energy above the most stable polymorph in this dataset is 0.00 eV per formula unit. The calculation puts the formation energy at -0.02 eV per atom. As for the space-group type: No. 2.

Lattice parameters (Å, degrees): 5.059 5.101 8.252 72.44 72.55 89.14
Positions (direct):
Mg (0.000, 0.000, 0.000)
Mg (0.247, 0.248, 0.504)
Mg (0.753, 0.752, 0.496)
Tl (0.120, 0.619, 0.764)
Tl (0.880, 0.381, 0.236)
Pb (0.377, 0.874, 0.245)
Pb (0.623, 0.126, 0.755)

# 5
This record from Alexandria describes a relaxed structure of MgTlPb. The functional is PBE.

Its energy above the most stable polymorph in this dataset is 0.03 eV per formula unit. The calculation puts the formation energy at -0.01 eV per atom. As for the space-group type: No. 63.

Lattice parameters (Å, degrees): 8.737 8.737 5.422 90.00 90.00 156.23
Positions (direct):
Mg (0.065, 0.935, 0.750)
Mg (0.935, 0.065, 0.250)
Tl (0.276, 0.724, 0.250)
Tl (0.724, 0.276, 0.750)
Pb (0.410, 0.590, 0.750)
Pb (0.590, 0.410, 0.250)

# 6
This record from Alexandria describes a relaxed structure of Mg4Tl3Pb2. The functional is PBE.

Its energy above the most stable polymorph in this dataset is 0.00 eV per formula unit. The calculation puts the formation energy at -0.02 eV per atom. As for the space-group type: No. 2.

Lattice parameters (Å, degrees): 5.209 5.216 10.160 89.99 89.96 60.05
Positions (direct):
Mg (0.000, 0.001, 0.329)
Mg (0.000, 0.999, 0.671)
Mg (0.334, 0.333, 0.898)
Mg (0.666, 0.667, 0.102)
Tl (0.000, 0.000, 0.000)
Tl (0.333, 0.333, 0.571)
Tl (0.667, 0.667, 0.429)
Pb (0.333, 0.334, 0.215)
Pb (0.667, 0.666, 0.785)

# 7
This record from Alexandria describes a relaxed structure of Mg3Tl2Pb2. The functional is PBE.

Its energy above the most stable polymorph in this dataset is 0.34 eV per formula unit. The calculation puts the formation energy at 0.03 eV per atom. As for the space-group type: No. 199.

Lattice parameters (Å, degrees): 7.954 7.954 7.954 109.47 109.47 109.47
Positions (direct):
Mg (0.213, 0.963, 0.250)
Mg (0.250, 0.213, 0.963)
Mg (0.287, 0.537, 0.750)
Mg (0.537, 0.750, 0.287)
Mg (0.750, 0.287, 0.537)
Mg (0.963, 0.250, 0.213)
Tl (0.000, 0.662, 0.500)
Tl (0.500, 0.000, 0.662)
Tl (0.662, 0.500, 0.000)
Tl (0.838, 0.838, 0.838)
Pb (0.000, 0.060, 0.500)
Pb (0.060, 0.500, 0.000)
Pb (0.440, 0.440, 0.440)
Pb (0.500, 0.000, 0.060)

# 8
This record from Alexandria describes a relaxed structure of MgTl2Pb. The functional is PBE.

The calculation puts the formation energy at 0.01 eV per atom. As for the space-group type: No. 71.

Lattice parameters (Å, degrees): 6.456 6.456 6.456 146.93 128.74 62.37
Positions (direct):
Mg (0.000, 0.000, 0.000)
Tl (0.234, 0.734, 0.500)
Tl (0.766, 0.266, 0.500)
Pb (0.500, 0.500, 0.000)

# 9
This record from Alexandria describes a relaxed structure of Mg7Tl12Pb. The functional is PBE.

Its energy above the most stable polymorph in this dataset is 0.00 eV per formula unit. The calculation puts the formation energy at 0.01 eV per atom. As for the space-group type: No. 148.

Lattice parameters (Å, degrees): 8.637 8.637 8.637 105.98 105.98 105.98
Positions (direct):
Mg (0.000, 0.000, 0.000)
Mg (0.175, 0.606, 0.487)
Mg (0.394, 0.513, 0.825)
Mg (0.487, 0.175, 0.606)
Mg (0.513, 0.825, 0.394)
Mg (0.606, 0.487, 0.175)
Mg (0.825, 0.394, 0.513)
Tl (0.102, 0.211, 0.453)
Tl (0.129, 0.833, 0.279)
Tl (0.167, 0.721, 0.871)
Tl (0.211, 0.453, 0.102)
Tl (0.279, 0.129, 0.833)
Tl (0.453, 0.102, 0.211)
Tl (0.547, 0.898, 0.789)
Tl (0.721, 0.871, 0.167)
Tl (0.789, 0.547, 0.898)
Tl (0.833, 0.279, 0.129)
Tl (0.871, 0.167, 0.721)
Tl (0.898, 0.789, 0.547)
Pb (0.500, 0.500, 0.500)

# 10
This record from Alexandria describes a relaxed structure of Mg5Tl4Pb2. The functional is PBE.

The calculation puts the formation energy at -0.02 eV per atom. As for the space-group type: No. 55.

Lattice parameters (Å, degrees): 8.163 20.113 3.518 90.00 90.00 90.00
Positions (direct):
Mg (0.000, 0.000, 0.000)
Mg (0.112, 0.420, 0.000)
Mg (0.212, 0.178, 0.000)
Mg (0.288, 0.678, 0.000)
Mg (0.388, 0.920, 0.000)
Mg (0.500, 0.500, 0.000)
Mg (0.612, 0.080, 0.000)
Mg (0.712, 0.322, 0.000)
Mg (0.788, 0.822, 0.000)
Mg (0.888, 0.580, 0.000)
Tl (0.092, 0.871, 0.500)
Tl (0.198, 0.548, 0.500)
Tl (0.302, 0.048, 0.500)
Tl (0.408, 0.371, 0.500)
Tl (0.592, 0.629, 0.500)
Tl (0.698, 0.952, 0.500)
Tl (0.802, 0.452, 0.500)
Tl (0.908, 0.129, 0.500)
Pb (0.028, 0.290, 0.500)
Pb (0.472, 0.790, 0.500)
Pb (0.528, 0.210, 0.500)
Pb (0.972, 0.710, 0.500)

# 11
This record from Alexandria describes a relaxed structure of Mg4Tl5Pb. The functional is PBE.

The calculation puts the formation energy at -0.02 eV per atom. As for the space-group type: No. 123.

Lattice parameters (Å, degrees): 3.724 3.724 18.873 90.00 90.00 90.00
Positions (direct):
Mg (0.000, 0.000, 0.095)
Mg (0.000, 0.000, 0.285)
Mg (0.000, 0.000, 0.715)
Mg (0.000, 0.000, 0.905)
Tl (0.500, 0.500, 0.000)
Tl (0.500, 0.500, 0.190)
Tl (0.500, 0.500, 0.382)
Tl (0.500, 0.500, 0.618)
Tl (0.500, 0.500, 0.810)
Pb (0.000, 0.000, 0.500)

# 12
This record from Alexandria describes a relaxed structure of MgTl2Pb. The functional is PBE.

The calculation puts the formation energy at 0.01 eV per atom. As for the space-group type: No. 35.

Lattice parameters (Å, degrees): 3.381 3.381 11.181 90.00 90.00 115.12
Positions (direct):
Mg (0.000, 0.000, 0.000)
Tl (0.000, 0.000, 0.496)
Tl (0.500, 0.500, 0.230)
Pb (0.500, 0.500, 0.767)

# 13
This record from Alexandria describes a relaxed structure of Mg2Tl5Pb12. The functional is PBE.

The calculation puts the formation energy at 0.03 eV per atom. As for the space-group type: No. 12.

Lattice parameters (Å, degrees): 10.685 10.685 5.866 100.46 100.46 63.74
Positions (direct):
Mg (0.247, 0.753, 0.000)
Mg (0.753, 0.247, 0.000)
Tl (0.000, 0.000, 0.500)
Tl (0.199, 0.199, 0.614)
Tl (0.307, 0.307, 0.178)
Tl (0.693, 0.693, 0.822)
Tl (0.801, 0.801, 0.386)
Pb (0.062, 0.555, 0.801)
Pb (0.097, 0.097, 0.047)
Pb (0.174, 0.643, 0.391)
Pb (0.357, 0.826, 0.609)
Pb (0.428, 0.428, 0.767)
Pb (0.445, 0.938, 0.199)
Pb (0.555, 0.062, 0.801)
Pb (0.572, 0.572, 0.233)
Pb (0.643, 0.174, 0.391)
Pb (0.826, 0.357, 0.609)
Pb (0.903, 0.903, 0.953)
Pb (0.938, 0.445, 0.199)

# 14
This record from Alexandria describes a relaxed structure of Mg3Tl6Pb. The functional is PBE.

Its energy above the most stable polymorph in this dataset is 0.15 eV per formula unit. The calculation puts the formation energy at 0.03 eV per atom. As for the space-group type: No. 11.

Lattice parameters (Å, degrees): 9.890 5.066 12.381 90.00 111.06 90.00
Positions (direct):
Mg (0.073, 0.250, 0.438)
Mg (0.080, 0.250, 0.948)
Mg (0.204, 0.750, 0.304)
Mg (0.796, 0.250, 0.696)
Mg (0.920, 0.750, 0.052)
Mg (0.927, 0.750, 0.562)
Tl (0.058, 0.250, 0.185)
Tl (0.139, 0.250, 0.721)
Tl (0.247, 0.750, 0.569)
Tl (0.262, 0.750, 0.059)
Tl (0.398, 0.250, 0.413)
Tl (0.453, 0.750, 0.882)
Tl (0.547, 0.250, 0.118)
Tl (0.602, 0.750, 0.587)
Tl (0.738, 0.250, 0.941)
Tl (0.753, 0.250, 0.431)
Tl (0.861, 0.750, 0.279)
Tl (0.942, 0.750, 0.815)
Pb (0.465, 0.250, 0.700)
Pb (0.535, 0.750, 0.300)

# 15
This record from Alexandria describes a relaxed structure of Mg2Tl15Pb2. The functional is PBE.

The calculation puts the formation energy at 0.04 eV per atom. As for the space-group type: No. 2.

Lattice parameters (Å, degrees): 8.402 8.408 9.218 74.14 68.30 88.74
Positions (direct):
Mg (0.207, 0.215, 0.134)
Mg (0.793, 0.785, 0.866)
Tl (0.000, 0.000, 0.500)
Tl (0.000, 0.500, 0.000)
Tl (0.021, 0.847, 0.180)
Tl (0.074, 0.594, 0.593)
Tl (0.247, 0.851, 0.777)
Tl (0.343, 0.601, 0.097)
Tl (0.363, 0.408, 0.738)
Tl (0.404, 0.886, 0.385)
Tl (0.500, 0.000, 0.000)
Tl (0.596, 0.114, 0.615)
Tl (0.637, 0.592, 0.262)
Tl (0.657, 0.399, 0.903)
Tl (0.753, 0.149, 0.223)
Tl (0.926, 0.406, 0.407)
Tl (0.979, 0.153, 0.820)
Pb (0.321, 0.282, 0.425)
Pb (0.679, 0.718, 0.575)

# 16
This record from Alexandria describes a relaxed structure of MgTl2Pb. The functional is PBE.

The calculation puts the formation energy at 0.03 eV per atom. As for the space-group type: No. 65.

Lattice parameters (Å, degrees): 3.376 3.376 11.027 90.00 90.00 114.16
Positions (direct):
Mg (0.000, 0.000, 0.000)
Tl (0.500, 0.500, 0.234)
Tl (0.500, 0.500, 0.766)
Pb (0.000, 0.000, 0.500)

# 17
This record from Alexandria describes a relaxed structure of MgTl2Pb. The functional is PBE.

The calculation puts the formation energy at 0.00 eV per atom. As for the space-group type: No. 12.

Lattice parameters (Å, degrees): 5.881 5.881 5.950 102.86 102.86 34.52
Positions (direct):
Mg (0.000, 0.000, 0.000)
Tl (0.260, 0.260, 0.759)
Tl (0.740, 0.740, 0.241)
Pb (0.500, 0.500, 0.500)

# 18
This record from Alexandria describes a relaxed structure of MgTl2Pb8. The functional is PBE.

Its energy above the most stable polymorph in this dataset is 0.00 eV per formula unit. The calculation puts the formation energy at 0.02 eV per atom. As for the space-group type: No. 123.

Lattice parameters (Å, degrees): 4.915 4.915 14.209 90.00 90.00 90.00
Positions (direct):
Mg (0.000, 0.000, 0.000)
Tl (0.000, 0.000, 0.322)
Tl (0.000, 0.000, 0.678)
Pb (0.000, 0.500, 0.137)
Pb (0.000, 0.500, 0.500)
Pb (0.000, 0.500, 0.863)
Pb (0.500, 0.000, 0.137)
Pb (0.500, 0.000, 0.500)
Pb (0.500, 0.000, 0.863)
Pb (0.500, 0.500, 0.313)
Pb (0.500, 0.500, 0.687)

# 19
This record from Alexandria describes a relaxed structure of Mg7TlPb2. The functional is PBE.

Its energy above the most stable polymorph in this dataset is 4.04 eV per formula unit. The calculation puts the formation energy at 0.40 eV per atom. As for the space-group type: No. 225.

Lattice parameters (Å, degrees): 7.517 7.517 7.517 60.00 60.00 60.00
Positions (direct):
Mg (0.000, 0.000, 0.000)
Mg (0.249, 0.249, 0.751)
Mg (0.249, 0.751, 0.249)
Mg (0.249, 0.751, 0.751)
Mg (0.751, 0.249, 0.249)
Mg (0.751, 0.249, 0.751)
Mg (0.751, 0.751, 0.249)
Tl (0.500, 0.500, 0.500)
Pb (0.250, 0.250, 0.250)
Pb (0.750, 0.750, 0.750)

# 20
This record from Alexandria describes a relaxed structure of Mg3Tl7Pb. The functional is PBE.

The calculation puts the formation energy at 0.04 eV per atom. As for the space-group type: No. 156.

Lattice parameters (Å, degrees): 7.041 7.041 7.477 90.00 90.00 120.00
Positions (direct):
Mg (0.168, 0.336, 0.000)
Mg (0.168, 0.832, 0.000)
Mg (0.664, 0.832, 0.000)
Tl (0.333, 0.667, 0.666)
Tl (0.347, 0.174, 0.694)
Tl (0.507, 0.014, 0.308)
Tl (0.507, 0.493, 0.308)
Tl (0.826, 0.174, 0.694)
Tl (0.826, 0.653, 0.694)
Tl (0.986, 0.493, 0.308)
Pb (0.000, 0.000, 0.336)

# 21
This record from Alexandria describes a relaxed structure of MgTl3Pb. The functional is PBE.

Its energy above the most stable polymorph in this dataset is 0.15 eV per formula unit. The calculation puts the formation energy at 0.05 eV per atom. As for the space-group type: No. 12.

Lattice parameters (Å, degrees): 7.330 7.330 6.240 106.49 106.49 89.40
Positions (direct):
Mg (0.242, 0.242, 0.477)
Mg (0.758, 0.758, 0.523)
Tl (0.085, 0.575, 0.809)
Tl (0.425, 0.915, 0.191)
Tl (0.432, 0.432, 0.205)
Tl (0.568, 0.568, 0.795)
Tl (0.575, 0.085, 0.809)
Tl (0.915, 0.425, 0.191)
Pb (0.085, 0.085, 0.812)
Pb (0.915, 0.915, 0.188)